1.
DFT (GGA-PBE) results for a relaxed structure of Li2Nd3Au9.

Summary:
**Final energy**: -4.03 eV/atom
**Formation enthalpy at 0 K**: -8.772 eV per formula unit
**Density of states at the Fermi level**: 6.48 states/eV per cell
**Space-group type**: No. 71
**Crystal system**: orthorhombic

Cell: 8.8706 8.8706 8.8706 Å, 153.18 104.39 81.90°
Atoms (fractional coordinates):
Li 0.1949 0.0000 0.1949
Li 0.8051 0.0000 0.8051
Nd 0.2046 0.2046 0.0000
Nd 0.5000 0.5000 0.0000
Nd 0.7954 0.7954 0.0000
Au 0.0000 0.5000 0.5000
Au 0.0656 0.3666 0.6990
Au 0.2233 0.8517 0.3716
Au 0.3324 0.6334 0.6990
Au 0.4801 0.8517 0.6284
Au 0.5199 0.1483 0.3716
Au 0.6676 0.3666 0.3010
Au 0.7767 0.1483 0.6284
Au 0.9344 0.6334 0.3010

=====

2.
DFT (GGA-PBE) results for a relaxed structure of LiNdAu4.

Summary:
**Final energy**: -3.83 eV/atom
**Formation enthalpy at 0 K**: -3.211 eV per formula unit
**Density of states at the Fermi level**: 3.23 states/eV per cell
**Space-group type**: No. 65
**Crystal system**: orthorhombic
**Distance to the lowest polymorph of the same formula**: 14.6 meV per atom

Cell: 5.2429 5.2429 5.1714 Å, 90.00 90.00 119.18°
Atoms (fractional coordinates):
Li 0.0000 0.0000 0.0000
Nd 0.5000 0.5000 0.5000
Au 0.1616 0.8384 0.5000
Au 0.3196 0.6804 0.0000
Au 0.6804 0.3196 0.0000
Au 0.8384 0.1616 0.5000